# NiAgNF2, optimized geometry, DFT PBE with a Hubbard U
# size of the total moment	2.808	μB per cell
# relative energy among the computed polymorphs	728	meV per atom
data_NiAgNF2
_cell_length_a 4.4175
_cell_length_b 4.4175
_cell_length_c 3.9813
_cell_angle_alpha 90.00
_cell_angle_beta 90.00
_cell_angle_gamma 90.00
_symmetry_space_group_name_H-M 'P 4/m m m'
_symmetry_Int_Tables_number 123
_symmetry_space_group_name_Hall '-P 4 2'
loop_
_atom_site_label
_atom_site_fract_x
_atom_site_fract_y
_atom_site_fract_z
Ni1 0.0000 0.0000 0.0000
Ag1 0.5000 0.5000 0.5000
N1 0.5000 0.5000 0.0000
F1 0.0000 0.5000 0.5000